MnH12N2Cl4O2 | PBE+U | optimized geometry

Computed properties:
- Space-group type: I-42m, No. 121
- Total magnetization: 0.238 μB per atom
- Raw total energy: -4.74 eV per atom

Unit cell a=6.8001 b=6.8001 c=6.8001 alpha=112.67 beta=112.67 gamma=103.25
With the nearest neighbours (Å) after each atom.
Positions (direct):
Mn (0.0000, 0.0000, 0.0000)  2 O 2.22
H (0.1051, 0.7640, 0.5117)  1 N 1.04
H (0.2360, 0.7477, 0.3412)  1 N 1.04
H (0.2523, 0.5935, 0.4883)  1 N 1.04
H (0.2580, 0.4063, 0.0000)  1 O 0.98
H (0.4063, 0.2580, 0.0000)  1 O 0.98
H (0.4065, 0.8949, 0.6588)  1 N 1.04
H (0.5935, 0.2523, 0.4883)  1 N 1.04
H (0.5937, 0.5937, 0.8517)  1 O 0.98
H (0.7420, 0.7420, 0.1483)  1 O 0.98
H (0.7477, 0.2360, 0.3412)  1 N 1.04
H (0.7640, 0.1051, 0.5117)  1 N 1.04
H (0.8949, 0.4065, 0.6588)  1 N 1.04
N (0.2500, 0.7500, 0.5000)  4 H 1.04
N (0.7500, 0.2500, 0.5000)  4 H 1.04
Cl (0.2197, 0.7370, 0.0000)  3 H 2.25-2.32
Cl (0.2630, 0.2630, 0.4827)  3 H 2.25-2.32
Cl (0.7370, 0.2197, 0.0000)  3 H 2.25-2.32
Cl (0.7803, 0.7803, 0.5173)  3 H 2.25-2.32
O (0.2629, 0.2629, 0.0000)  2 H 0.98
O (0.7371, 0.7371, 0.0000)  2 H 0.98